Model 1:
Material: TmScInGa
Method: DFT, PBE-GGA
State: relaxed

Lattice parameters (Å, degrees): 7.1075 7.1075 7.1075 90.00 90.00 90.00
With the nearest neighbours (Å) after each atom.
Space group F-43m (No. 216)
Inequivalent atoms, fractional coordinates:
1 Tm 0.0000 0.0000 0.0000  4 In 3.08, 4 Ga 3.08
2 Sc 0.0000 0.0000 0.5000  4 Ga 3.08, 4 In 3.08
3 In 0.2500 0.2500 0.7500  4 Sc 3.08, 4 Tm 3.08
4 Ga 0.2500 0.2500 0.2500  4 Tm 3.08, 4 Sc 3.08

=====

Model 2:
Material: TmScInGa
Method: DFT, PBE-GGA
State: relaxed

Lattice parameters (Å, degrees): 3.3527 3.3527 7.9006 90.00 90.00 90.00
With the nearest neighbours (Å) after each atom.
Space group P4mm (No. 99)
Inequivalent atoms, fractional coordinates:
1 Tm 0.0000 0.0000 0.0000  4 Ga 3.04, 4 In 3.25, 4 Tm 3.35
2 Sc 0.0000 0.0000 0.4623  4 Ga 2.94, 4 In 3.12
3 In 0.5000 0.5000 0.7192  4 Sc 3.12, 4 Tm 3.25, 4 In 3.35
4 Ga 0.5000 0.5000 0.2416  4 Sc 2.94, 4 Tm 3.04

=====

Tell me which of them is the least stable. Sure, it is model 1.

=====

Model 1:
Material: In2GaSe2
Method: DFT, PBE-GGA
State: relaxed

Lattice parameters (Å, degrees): 7.9855 7.9855 3.9354 90.00 90.00 90.00
With the nearest neighbours (Å) after each atom.
Space group P4/mbm (No. 127)
Inequivalent atoms, fractional coordinates:
1 In 0.1408 0.3592 0.0000  6 Se 2.94-3.15, 2 Ga 3.08, 1 In 3.18
2 Ga 0.0000 0.0000 0.0000  4 In 3.08
3 Se 0.1660 0.6660 0.5000  6 In 2.94-3.15

=====

Model 2:
Material: In2GaSe2
Method: DFT, PBE-GGA
State: relaxed

Lattice parameters (Å, degrees): 8.0806 8.0806 3.8786 90.00 90.00 90.00
With the nearest neighbours (Å) after each atom.
Space group P4/mbm (No. 127)
Inequivalent atoms, fractional coordinates:
1 In 0.1486 0.3514 0.0000  6 Se 2.93-3.15
2 Ga 0.0000 0.0000 0.5000  4 Se 3.04
3 Se 0.1587 0.6587 0.5000  6 In 2.93-3.15, 2 Ga 3.04

=====

Tell me which of them is the least stable. Sure, it is model 1.

=====

Model 1:
Material: In3GaSe
Method: DFT, PBE-GGA
State: relaxed

Lattice parameters (Å, degrees): 5.2939 5.2939 5.2939 90.00 90.00 90.00
With the nearest neighbours (Å) after each atom.
Space group Pm-3m (No. 221)
Inequivalent atoms, fractional coordinates:
1 In 0.0000 0.0000 0.5000  2 Ga 2.65
2 Ga 0.0000 0.0000 0.0000  6 In 2.65
3 Se 0.5000 0.5000 0.5000  12 In 3.74

=====

Model 2:
Material: In3GaSe
Method: DFT, PBE-GGA
State: relaxed

Lattice parameters (Å, degrees): 5.6216 5.6216 5.6216 90.00 90.00 90.00
With the nearest neighbours (Å) after each atom.
Space group Pm-3m (No. 221)
Inequivalent atoms, fractional coordinates:
1 In 0.0000 0.0000 0.5000  2 Se 2.81
2 Ga 0.5000 0.5000 0.5000  12 In 3.98
3 Se 0.0000 0.0000 0.0000  6 In 2.81

=====

Tell me which of them is the least stable. Sure, it is model 2.

=====

Model 1:
Material: InGa2Se4
Method: DFT, PBE-GGA
State: relaxed

Lattice parameters (Å, degrees): 5.7136 5.7136 6.1622 90.00 90.00 90.00
With the nearest neighbours (Å) after each atom.
Space group P-42m (No. 111)
Inequivalent atoms, fractional coordinates:
1 In 0.0000 0.0000 0.0000  4 Se 2.71
2 Ga 0.0000 0.5000 0.5000  4 Se 2.51
3 Se 0.2708 0.2708 0.2599  2 Ga 2.51, 1 In 2.71

=====

Model 2:
Material: InGa2Se4
Method: DFT, PBE-GGA
State: relaxed

Lattice parameters (Å, degrees): 7.8580 7.8580 6.3814 90.00 90.00 90.00
With the nearest neighbours (Å) after each atom.
Space group I4/m (No. 87)
Inequivalent atoms, fractional coordinates:
1 In 0.0000 0.0000 0.0000  4 Se 2.98
2 Ga 0.0000 0.5000 0.2500  4 Se 2.46
3 Se 0.1627 0.6730 0.5000  2 Ga 2.46

=====

Tell me which of them is the least stable. Sure, it is model 2.

=====

Model 1:
Material: InGa3Si
Method: DFT, PBE-GGA
State: relaxed

Lattice parameters (Å, degrees): 4.8984 4.8984 4.8984 90.00 90.00 90.00
With the nearest neighbours (Å) after each atom.
Space group Pm-3m (No. 221)
Inequivalent atoms, fractional coordinates:
1 In 0.0000 0.0000 0.0000  12 Ga 3.46
2 Ga 0.0000 0.5000 0.5000  2 Si 2.45
3 Si 0.5000 0.5000 0.5000  6 Ga 2.45

=====

Model 2:
Material: InGa3Si
Method: DFT, PBE-GGA
State: relaxed

Lattice parameters (Å, degrees): 5.2046 5.2046 5.2046 90.00 90.00 90.00
With the nearest neighbours (Å) after each atom.
Space group Pm-3m (No. 221)
Inequivalent atoms, fractional coordinates:
1 In 0.0000 0.0000 0.0000  6 Ga 2.60
2 Ga 0.0000 0.0000 0.5000  2 In 2.60
3 Si 0.5000 0.5000 0.5000  12 Ga 3.68

=====

Tell me which of them is the least stable. Sure, it is model 2.

=====

Model 1:
Material: InGaSi2
Method: DFT, PBE-GGA
State: relaxed

Lattice parameters (Å, degrees): 6.7604 6.7604 6.7604 90.00 90.00 90.00
With the nearest neighbours (Å) after each atom.
Space group Fm-3m (No. 225)
Inequivalent atoms, fractional coordinates:
1 In 0.0000 0.0000 0.0000  8 Si 2.93
2 Ga 0.0000 0.0000 0.5000  8 Si 2.93
3 Si 0.2500 0.2500 0.2500  4 In 2.93, 4 Ga 2.93

=====

Model 2:
Material: InGaSi2
Method: DFT, PBE-GGA
State: relaxed

Lattice parameters (Å, degrees): 5.9095 5.9095 11.5619 90.00 90.00 90.00
With the nearest neighbours (Å) after each atom.
Space group I-42d (No. 122)
Inequivalent atoms, fractional coordinates:
1 In 0.0000 0.0000 0.0000  4 Si 2.65
2 Ga 0.0000 0.0000 0.5000  4 Si 2.44
3 Si 0.2182 0.2500 0.6250  2 Ga 2.44, 2 In 2.65

=====

Tell me which of them is the least stable. Sure, it is model 1.